BaZnCoF6 PBE with a Hubbard U relaxed; DOS at the Fermi energy = 14.0 states/eV/cell; E = -4.87 eV per atom; ρ = 4.290 g/cm3; total moment = 3.00 μB/f.u.
1.0
5.475 0.000 0.000
-2.738 4.742 0.000
0.000 0.000 11.202
Ba Zn Co F
2 2 2 12
direct
0.000 0.000 0.000 Ba
0.000 0.000 0.500 Ba
0.333 0.667 0.250 Zn
0.667 0.333 0.750 Zn
0.333 0.667 0.750 Co
0.667 0.333 0.250 Co
0.001 0.379 0.647 F
0.001 0.622 0.853 F
0.378 0.379 0.853 F
0.378 0.999 0.647 F
0.379 0.001 0.147 F
0.379 0.378 0.353 F
0.621 0.622 0.647 F
0.621 0.999 0.853 F
0.622 0.001 0.353 F
0.622 0.621 0.147 F
0.999 0.378 0.147 F
0.999 0.621 0.353 F